(1)
First-principles (PBE-GGA) data for a relaxed structure of NaCrAu, as listed in Alexandria.

abc: 8.7340 2.8746 8.6292
angles: 90.00 90.00 90.00
Fractional coordinates of all 12 atoms:
Na (0.0707, 0.2500, 0.1532)
Na (0.4293, 0.7500, 0.6532)
Na (0.5707, 0.2500, 0.3468)
Na (0.9293, 0.7500, 0.8468)
Cr (0.0747, 0.2500, 0.5438)
Cr (0.4253, 0.7500, 0.0438)
Cr (0.5747, 0.2500, 0.9562)
Cr (0.9253, 0.7500, 0.4562)
Au (0.2283, 0.2500, 0.8556)
Au (0.2717, 0.7500, 0.3556)
Au (0.7283, 0.2500, 0.6444)
Au (0.7717, 0.7500, 0.1444)

* E above lowest polymorph: 0.0 meV/atom
* DFT formation energy: 23.02 kJ per mole of atoms

(2)
First-principles (PBE-GGA) data for a relaxed structure of Sc2MoCl, as listed in Alexandria.

abc: 3.1936 4.3191 5.7431
angles: 90.00 90.00 90.00
Fractional coordinates of all 4 atoms:
Sc (0.0000, 0.0000, 0.0000)
Sc (0.5000, 0.0000, 0.5000)
Mo (0.0000, 0.5000, 0.5000)
Cl (0.5000, 0.5000, 0.0000)

* E above lowest polymorph: 783.9 meV/atom

(3)
First-principles (PBE-GGA) data for a relaxed structure of MgScAg3, as listed in Alexandria.

abc: 4.8475 4.8475 4.8475
angles: 90.00 90.00 90.00
Fractional coordinates of all 5 atoms:
Mg (0.0000, 0.0000, 0.0000)
Sc (0.5000, 0.5000, 0.5000)
Ag (0.0000, 0.0000, 0.5000)
Ag (0.0000, 0.5000, 0.0000)
Ag (0.5000, 0.0000, 0.0000)

* E above lowest polymorph: 646.4 meV/atom
* DFT formation energy: 39.61 kJ per mole of atoms

(4)
First-principles (PBE-GGA) data for a relaxed structure of Bi3PtPb, as listed in Alexandria.

abc: 7.2912 7.2912 7.2270
angles: 118.46 118.46 76.32
Fractional coordinates of all 10 atoms:
Bi (0.0468, 0.4493, 0.7712)
Bi (0.0628, 0.0628, 0.2827)
Bi (0.4493, 0.0468, 0.7712)
Bi (0.5507, 0.9532, 0.2288)
Bi (0.9372, 0.9372, 0.7173)
Bi (0.9532, 0.5507, 0.2288)
Pt (0.2379, 0.2379, 0.0987)
Pt (0.7621, 0.7621, 0.9013)
Pb (0.4561, 0.4561, 0.6849)
Pb (0.5439, 0.5439, 0.3151)

* E above lowest polymorph: 7.2 meV/atom
* DFT formation energy: -7.38 kJ per mole of atoms

(5)
First-principles (PBE-GGA) data for a relaxed structure of La3CoSn, as listed in Alexandria.

abc: 5.3026 5.3026 5.3026
angles: 90.00 90.00 90.00
Fractional coordinates of all 5 atoms:
La (0.0000, 0.0000, 0.5000)
La (0.0000, 0.5000, 0.0000)
La (0.5000, 0.0000, 0.0000)
Co (0.0000, 0.0000, 0.0000)
Sn (0.5000, 0.5000, 0.5000)

* E above lowest polymorph: 0.0 meV/atom
* DFT formation energy: -43.22 kJ per mole of atoms

(6)
First-principles (PBE-GGA) data for a relaxed structure of Cs3Rb2NpO6, as listed in Alexandria.

abc: 6.9438 6.9438 6.9730
angles: 99.33 99.33 119.93
Fractional coordinates of all 12 atoms:
Cs (0.0000, 0.0000, 0.0000)
Cs (0.3328, 0.6672, 0.0000)
Cs (0.6672, 0.3328, 0.0000)
Rb (0.1666, 0.8334, 0.5000)
Rb (0.8334, 0.1666, 0.5000)
Np (0.5000, 0.5000, 0.5000)
O (0.2001, 0.4396, 0.3209)
O (0.3221, 0.3221, 0.6867)
O (0.4396, 0.2001, 0.3209)
O (0.5604, 0.7999, 0.6791)
O (0.6779, 0.6779, 0.3133)
O (0.7999, 0.5604, 0.6791)

* raw total energy: -5.93 eV per atom

Taking the records one at a time from the top gives magnetic moment values of 0.00; 0.44; 0.00; 0.00; 0.00; 0.00 Bohr magnetons per cell.